AlSb2Ru: optimized geometry, PBE.

Total energy (eV per atom): -4.9135
M_tot (μB per cell): 0.0
Symmetry: F-43m

Cell and atoms, written as POSCAR:
```
AlSb2Ru
1.0
-1.398 4.455 -1.237
0.345 1.451 -4.594
-3.996 0.632 -2.640
Al Sb Ru
1 2 1
Direct
0.500 0.500 0.500
0.250 0.250 0.250
0.000 0.000 0.000
0.750 0.750 0.750
```